{
  "formula": "AcLa3PmDy",
  "functional": "PBE",
  "state": "optimized geometry",
  "m_tot_mub_per_cell": 0.0,
  "density_g_cm3": 7.023,
  "dft_energy_ev_per_atom": -4.53,
  "space_group": "No. 12",
  "formation_energy_ev_per_atom": 0.172,
  "lattice_angstrom": [[5.9839, 0.0000, 0.0000], [-2.9920, 10.4536, 1.6348], [0.0000, -1.2629, 6.9930]],
  "species": ["Dy", "La", "La", "Pm", "Ac", "Dy", "La", "La", "Pm", "La", "Ac", "La"],
  "fractional_positions": [[0.3596, 0.7192, 0.5061], [0.7812, 0.5624, 0.7168], [0.1585, 0.3170, 0.7492], [0.0575, 0.1150, 0.2826], [0.3513, 0.7027, 0.9656], [0.6404, 0.2808, 0.4939], [0.2188, 0.4376, 0.2832], [0.8415, 0.6830, 0.2508], [0.9425, 0.8850, 0.7174], [0.5151, 0.0301, 0.7484], [0.6487, 0.2973, 0.0344], [0.4849, 0.9699, 0.2516]]
}